Material: KNbInFeCu
Method: DFT, PBE
State: optimized geometry

magnetization: 0.00 μB per formula unit
distance to the lowest polymorph of the same formula: 0.003 eV/atom
VASP energy: -49.7 eV per cell
space-group type: Amm2, No. 38

Lattice parameters (Å, degrees): 3.2472 4.3455 16.3869 90.00 90.00 90.00
Fractional positions:
K 0.5000 0.0000 0.5800
K 0.5000 0.5000 0.0800
Cu 0.5000 0.5000 0.8800
Cu 0.5000 0.0000 0.3800
Nb 0.0000 0.0000 0.8871
Nb 0.0000 0.5000 0.3871
Fe 0.5000 0.5000 0.2865
Fe 0.5000 0.0000 0.7865
In 0.0000 0.5000 0.7413
In 0.0000 0.0000 0.2413